(1)
# K2GaSiRh

K2GaSiRh after structural relaxation (GGA-PBE, Alexandria).

Summary:
M_tot (μB per formula unit): 0.67
Total energy (eV for the cell shown): -14.30
Energy relative to the elements, uncorrected (eV/atom): 0.74
Space-group type: No. 123

a b c (Å): 6.118 6.118 4.598
angles (deg): 90.00 90.00 90.00
Element x y z (fractional)
1 K 0.000 0.500 0.000
2 K 0.500 0.000 0.000
3 Ga 0.000 0.000 0.000
4 Si 0.500 0.500 0.500
5 Rh 0.000 0.000 0.500

***

(2)
# KGa2SnRh

KGa2SnRh after structural relaxation (GGA-PBE, Alexandria).

Summary:
M_tot (μB per formula unit): 0.00
Total energy (eV for the cell shown): -19.46
DFT formation energy (kcal/mol of atoms): -4.402
Space-group type: No. 123

a b c (Å): 4.892 4.892 5.278
angles (deg): 90.00 90.00 90.00
Element x y z (fractional)
1 K 0.000 0.000 0.000
2 Ga 0.000 0.500 0.500
3 Ga 0.500 0.000 0.500
4 Sn 0.500 0.500 0.000
5 Rh 0.500 0.500 0.500

***

(3)
# KSrGa2Rh

KSrGa2Rh after structural relaxation (GGA-PBE, Alexandria).

Summary:
M_tot (μB per formula unit): 0.00
Total energy (eV for the cell shown): -17.43
DFT formation energy (kcal/mol of atoms): -5.740
Space-group type: No. 123

a b c (Å): 4.980 4.980 5.604
angles (deg): 90.00 90.00 90.00
Element x y z (fractional)
1 K 0.000 0.000 0.000
2 Sr 0.500 0.500 0.000
3 Ga 0.000 0.500 0.500
4 Ga 0.500 0.000 0.500
5 Rh 0.500 0.500 0.500

***

(4)
# K2GaTcRh

K2GaTcRh after structural relaxation (GGA-PBE, Alexandria).

Summary:
M_tot (μB per formula unit): 2.42
Total energy (eV for the cell shown): -17.60
DFT formation energy (kcal/mol of atoms): 24.605
Space-group type: No. 123

a b c (Å): 6.191 6.191 4.639
angles (deg): 90.00 90.00 90.00
Element x y z (fractional)
1 K 0.000 0.500 0.000
2 K 0.500 0.000 0.000
3 Ga 0.000 0.000 0.500
4 Tc 0.500 0.500 0.500
5 Rh 0.500 0.500 0.000